1.
The following is a GGA-PBE calculation of a relaxed structure of Ga5Ag6, from the Alexandria database.

Computed properties:
N(E_F)	0.24	states/eV per atom
formation energy	43.5	meV per atom
density	8.166	g/cm3

Unit cell a=6.273 b=6.273 c=5.753 alpha=100.80 beta=100.80 gamma=109.06
Sites, in units of the cell vectors:
Ga (0.000, 0.000, 0.000)
Ga (0.131, 0.869, 0.500)
Ga (0.263, 0.737, 0.000)
Ga (0.737, 0.263, 0.000)
Ga (0.869, 0.131, 0.500)
Ag (0.180, 0.457, 0.310)
Ag (0.332, 0.332, 0.783)
Ag (0.457, 0.180, 0.310)
Ag (0.543, 0.820, 0.690)
Ag (0.668, 0.668, 0.217)
Ag (0.820, 0.543, 0.690)

2.
The following is a GGA-PBE calculation of a relaxed structure of FeMo2As, from the Alexandria database.

Computed properties:
N(E_F)	0.98	states/eV per atom
formation energy	105.2	meV per atom
density	9.266	g/cm3

Unit cell a=4.389 b=4.389 c=3.001 alpha=90.00 beta=90.00 gamma=90.00
Sites, in units of the cell vectors:
Fe (0.000, 0.000, 0.000)
Mo (0.000, 0.500, 0.500)
Mo (0.500, 0.000, 0.500)
As (0.500, 0.500, 0.000)

3.
The following is a GGA-PBE calculation of a relaxed structure of TbHoHgOs, from the Alexandria database.

Computed properties:
N(E_F)	0.74	states/eV per atom
formation energy	-381.2	meV per atom
density	13.005	g/cm3
excess energy over the best structure of this formula in the dataset	0.00	eV per formula unit

Unit cell a=3.452 b=3.452 c=7.657 alpha=90.00 beta=90.00 gamma=90.00
Sites, in units of the cell vectors:
Tb (0.000, 0.000, 0.000)
Ho (0.000, 0.000, 0.565)
Hg (0.500, 0.500, 0.286)
Os (0.500, 0.500, 0.780)